## FeP2HO (PBE+U)

Data for a geometry-optimized FeP2HO structure.

Its volume is 15.24 Å³/atom. For the magnetic moment, the calculation gives 3.3 μB/f.u. For the relative energy among the computed polymorphs, the calculation gives 454.5 meV per atom. The calculation puts the total energy at -4.04 eV/atom.

Cell lengths 4.6106, 4.6106, 3.5835 Å; angles 90.00, 90.00, 90.00 degrees
Fractional positions:
P: 0.0000 0.5000 0.0000
P: 0.5000 0.0000 0.0000
Fe: 0.0000 0.0000 0.0000
O: 0.0000 0.0000 0.5000
H: 0.5000 0.5000 0.5000